Entry 1:
Material: La2Tb6In
Method: DFT, PBE
State: optimized geometry

a = 9.8533 Å, b = 10.4281 Å, c = 5.6054 Å
α = 90.00°, β = 90.00°, γ = 90.00°
Space group Pnnm (No. 58)
Unique sites:
La 0.1901 0.2482 0.0000 [4 per cell]
Tb 0.0165 0.1797 0.5000 [4 per cell]
Tb 0.1399 0.6007 0.0000 [4 per cell]
Tb 0.1798 0.9235 0.0000 [4 per cell]
In 0.0000 0.5000 0.5000 [2 per cell]

## Properties
energy of formation from the pure elements	-0.027	eV per atom
size of the total moment	0.0	μB per formula unit
total DFT energy (no corrections)	-4.5128	eV/atom

Entry 2:
Material: LiSi2Ni
Method: DFT, PBE
State: optimized geometry

a = 3.6819 Å, b = 3.6819 Å, c = 7.1068 Å
α = 90.00°, β = 90.00°, γ = 90.00°
Space group I4/mmm (No. 139)
Unique sites:
Li 0.0000 0.0000 0.0000 [2 per cell]
Si 0.0000 0.5000 0.2500 [4 per cell]
Ni 0.0000 0.0000 0.5000 [2 per cell]

## Properties
size of the total moment	0.0	μB per formula unit
distance to the lowest polymorph of the same formula	184	meV per atom
raw formation energy	-0.17	eV/atom
total DFT energy (no corrections)	-4.8071	eV/atom